Below is a geometry-optimized Pa3Zn2Pd8 structure, with properties calculated at the PBE level.

a = 10.373 Å, b = 10.373 Å, c = 10.373 Å
α = 30.78°, β = 30.78°, γ = 30.78°
Fractional coordinates of all 13 atoms:
Pa  0.000  0.000  0.000
Pa  0.222  0.222  0.222
Pa  0.778  0.778  0.778
Zn  0.392  0.392  0.392
Zn  0.608  0.608  0.608
Pd  0.200  0.708  0.708
Pd  0.292  0.292  0.800
Pd  0.292  0.800  0.292
Pd  0.311  0.311  0.311
Pd  0.689  0.689  0.689
Pd  0.708  0.200  0.708
Pd  0.708  0.708  0.200
Pd  0.800  0.292  0.292

Total magnetic moment: 1.370 μB per cell
SG: No. 166
VASP energy: -77.571 eV for the cell shown
Formation energy from the elements: -384 meV per atom
Density of states at the Fermi level: 12.543 states/eV/cell
Volume: 19.9 A^3/atom